(1)
A plane-wave DFT calculation with PBE was carried out for crystalline UTeAu at its relaxed geometry.

## Properties
symmetry: No. 156

Cell: 3.963 4.767 4.767 Å, 120.00 90.00 90.00°
Atoms (fractional coordinates):
Au  0.016  0.000  0.000
Te  0.711  0.667  0.333
U  0.273  0.333  0.667

=====

(2)
A plane-wave DFT calculation with PBE was carried out for crystalline UTeAu2 at its relaxed geometry.

## Properties
symmetry: No. 225

Cell: 5.077 5.077 5.078 Å, 60.00 60.00 60.00°
Atoms (fractional coordinates):
Au  0.250  0.250  0.250
Au  0.750  0.750  0.750
Te  0.000  0.000  0.000
U  0.500  0.500  0.500

=====

(3)
A plane-wave DFT calculation with PBE was carried out for crystalline UTeAu at its relaxed geometry.

## Properties
symmetry: No. 62

Cell: 4.202 4.390 16.863 Å, 90.00 90.00 90.00°
Atoms (fractional coordinates):
Te  0.251  0.750  0.822
Te  0.249  0.750  0.322
Te  0.749  0.250  0.178
Te  0.751  0.250  0.678
Au  0.250  0.250  0.503
Au  0.250  0.250  0.003
Au  0.750  0.750  0.497
Au  0.750  0.750  0.997
U  0.251  0.750  0.631
U  0.249  0.750  0.131
U  0.749  0.250  0.369
U  0.751  0.250  0.869

=====

(4)
A plane-wave DFT calculation with PBE was carried out for crystalline UTe6Au2 at its relaxed geometry.

## Properties
symmetry: No. 15

Cell: 7.519 9.032 9.032 Å, 90.16 84.57 84.57°
Atoms (fractional coordinates):
U  0.250  0.093  0.907
U  0.750  0.907  0.093
Te  0.397  0.645  0.518
Te  0.103  0.482  0.355
Te  0.603  0.355  0.482
Te  0.897  0.518  0.645
Te  0.811  0.011  0.389
Te  0.689  0.611  0.989
Te  0.189  0.989  0.611
Te  0.311  0.389  0.011
Te  0.119  0.800  0.976
Te  0.381  0.024  0.200
Te  0.881  0.200  0.024
Te  0.619  0.976  0.800
Au  0.231  0.545  0.772
Au  0.269  0.228  0.455
Au  0.769  0.455  0.228
Au  0.731  0.772  0.545

=====

(5)
A plane-wave DFT calculation with PBE was carried out for crystalline UTe8Au2 at its relaxed geometry.

## Properties
symmetry: No. 12

Cell: 5.744 8.341 8.341 Å, 86.22 80.17 80.17°
Atoms (fractional coordinates):
U  0.000  0.000  0.000
Te  0.718  0.118  0.719
Te  0.282  0.281  0.882
Te  0.769  0.240  0.240
Te  0.231  0.760  0.760
Te  0.718  0.719  0.118
Te  0.282  0.882  0.281
Te  0.239  0.448  0.448
Te  0.761  0.552  0.552
Au  0.280  0.220  0.220
Au  0.720  0.780  0.780

=====

(6)
A plane-wave DFT calculation with PBE was carried out for crystalline UTe3Au at its relaxed geometry.

## Properties
symmetry: No. 62

Cell: 7.957 8.086 11.211 Å, 90.00 90.00 90.00°
Atoms (fractional coordinates):
U  0.500  0.000  0.000
U  0.000  0.500  0.500
U  0.000  0.500  0.000
U  0.500  0.000  0.500
Te  0.833  0.173  0.962
Te  0.333  0.327  0.462
Te  0.333  0.327  0.038
Te  0.167  0.827  0.462
Te  0.167  0.827  0.038
Te  0.667  0.673  0.538
Te  0.667  0.673  0.962
Te  0.833  0.173  0.538
Te  0.624  0.937  0.250
Te  0.124  0.563  0.750
Te  0.376  0.063  0.750
Te  0.876  0.437  0.250
Au  0.421  0.199  0.250
Au  0.921  0.301  0.750
Au  0.579  0.801  0.750
Au  0.079  0.699  0.250

=====

(7)
A plane-wave DFT calculation with PBE was carried out for crystalline VTe6Au at its relaxed geometry.

## Properties
symmetry: No. 2

Cell: 6.834 6.833 6.717 Å, 59.33 59.37 59.99°
Atoms (fractional coordinates):
V  0.000  0.000  0.000
Te  0.040  0.433  0.747
Te  0.778  0.041  0.749
Te  0.568  0.221  0.253
Te  0.222  0.959  0.251
Te  0.960  0.567  0.253
Te  0.432  0.779  0.747
Au  0.500  0.500  0.500

=====

(8)
A plane-wave DFT calculation with PBE was carried out for crystalline VTe2Au2 at its relaxed geometry.

## Properties
symmetry: No. 127

Cell: 7.556 7.556 3.938 Å, 90.00 90.00 90.00°
Atoms (fractional coordinates):
Te  0.185  0.685  0.500
Te  0.685  0.815  0.500
Te  0.815  0.315  0.500
Te  0.315  0.185  0.500
Au  0.370  0.870  0.000
Au  0.870  0.630  0.000
Au  0.630  0.130  0.000
Au  0.130  0.370  0.000
V  0.000  0.000  0.000
V  0.500  0.500  0.000

=====

(9)
A plane-wave DFT calculation with PBE was carried out for crystalline V2TeAu at its relaxed geometry.

## Properties
symmetry: No. 122

Cell: 4.769 4.769 8.988 Å, 74.61 74.61 90.00°
Atoms (fractional coordinates):
Te  0.500  0.500  0.000
Te  0.250  0.750  0.500
Au  0.000  0.000  0.000
Au  0.750  0.250  0.500
V  0.653  0.125  0.250
V  0.097  0.625  0.250
V  0.375  0.347  0.750
V  0.875  0.903  0.750

=====

(10)
A plane-wave DFT calculation with PBE was carried out for crystalline VTe2Au2 at its relaxed geometry.

## Properties
symmetry: No. 139

Cell: 4.450 4.450 7.178 Å, 71.94 71.94 90.00°
Atoms (fractional coordinates):
Te  0.750  0.250  0.500
Te  0.250  0.750  0.500
Au  0.400  0.400  0.201
Au  0.600  0.600  0.799
V  0.000  0.000  0.000

=====

(11)
A plane-wave DFT calculation with PBE was carried out for crystalline VTeAu at its relaxed geometry.

## Properties
symmetry: No. 12

Cell: 4.052 5.295 6.125 Å, 101.91 109.31 90.00°
Atoms (fractional coordinates):
V  0.771  0.146  0.542
V  0.229  0.854  0.458
Au  0.438  0.221  0.876
Au  0.562  0.779  0.124
Te  0.137  0.309  0.274
Te  0.863  0.691  0.726

=====

(12)
A plane-wave DFT calculation with PBE was carried out for crystalline VTe3Au at its relaxed geometry.

## Properties
symmetry: No. 194

Cell: 5.243 7.564 7.568 Å, 120.00 89.98 90.01°
Atoms (fractional coordinates):
V  0.000  0.000  0.000
V  0.500  0.000  0.000
Te  0.750  0.646  0.823
Te  0.250  0.823  0.647
Te  0.250  0.354  0.177
Te  0.750  0.177  0.353
Te  0.250  0.823  0.177
Te  0.750  0.177  0.823
Au  0.750  0.667  0.334
Au  0.250  0.333  0.666

=====

no.,magnetic moment (μB per cell),raw total energy (eV/cell)
1,2.96,-18.353
2,2.33,-21.380
3,11.37,-75.541
4,0.02,-74.791
5,1.11,-43.706
6,3.97,-102.801
7,0.72,-31.554
8,5.90,-41.337
9,11.89,-44.362
10,3.47,-18.897
11,0.00,-30.999
12,0.00,-42.493